No. 1
# TbPuU2S4

Crystalline TbPuU2S4 at its relaxed geometry (PBE-GGA, the Alexandria database).

E_form (uncorrected)	-1.6247	eV/atom
V	20.92	Å³/atom
D(E_F)	1.523	states/eV per atom

Cell: 6.6207 3.8215 6.9725 Å, 90.00 108.46 90.00°
Closest atoms and distances in Å follow each position.
Space group P2/m (No. 10)
One atom of each set of equivalent atoms:
Tb (0.0000, 0.0000, 0.0000) x1  6 S 2.76
Pu (0.5000, 0.5000, 0.0000) x1  6 S 2.76-2.77
U (0.0000, 0.5000, 0.5000) x1  6 S 2.75-2.76
U (0.5000, 0.0000, 0.5000) x1  6 S 2.76
S (0.2492, 0.5000, 0.2506) x2  3 U 2.75-2.76, 2 Tb 2.76, 1 Pu 2.77
S (0.2496, 0.0000, 0.7500) x2  1 Tb 2.76, 3 U 2.76, 2 Pu 2.76

No. 2
# Nd3ZnPb3

Crystalline Nd3ZnPb3 at its relaxed geometry (PBE-GGA, the Alexandria database).

energy of formation from the pure elements	-0.49	eV per atom
V	29.20	Å³/atom
D(E_F)	0.787	states/eV per atom

Cell: 11.9056 4.6251 15.6489 Å, 90.00 108.44 90.00°
Closest atoms and distances in Å follow each position.
Space group C2/m (No. 12)
One atom of each set of equivalent atoms:
Nd (0.0174, 0.0000, 0.3803) x4  6 Pb 3.26-3.53, 3 Zn 3.43
Nd (0.0988, 0.0000, 0.9215) x4  7 Pb 3.23-3.58
Nd (0.2314, 0.0000, 0.2315) x4  2 Zn 3.22, 6 Pb 3.26-3.55
Zn (0.2269, 0.5000, 0.3734) x4  4 Pb 2.83-3.03
Pb (0.0050, 0.5000, 0.2311) x4  1 Zn 2.87
Pb (0.1293, 0.5000, 0.0764) x4  2 Pb 3.21-3.25, 7 Nd 3.23-3.58
Pb (0.1515, 0.5000, 0.5411) x4  3 Zn 2.83-3.03

No. 3
# Nd2Dy3Sc

Crystalline Nd2Dy3Sc at its relaxed geometry (PBE-GGA, the Alexandria database).

energy above the most stable polymorph in this dataset	230	meV per atom
energy of formation from the pure elements	0.27	eV per atom
V	32.03	Å³/atom
D(E_F)	1.478	states/eV per atom

Cell: 6.6598 17.2766 3.3409 Å, 90.00 90.00 90.00°
Closest atoms and distances in Å follow each position.
Space group Pnnm (No. 58)
One atom of each set of equivalent atoms:
Nd (0.2488, 0.1504, 0.0000) x4  1 Sc 3.08, 2 Dy 3.33-3.38, 2 Nd 3.34
Dy (0.0000, 0.5000, 0.0000) x2  2 Dy 3.34, 4 Nd 3.51, 4 Sc 3.73
Dy (0.2448, 0.3271, 0.5000) x4  4 Nd 3.33-3.48, 2 Dy 3.34, 1 Sc 3.44
Sc (0.0000, 0.0000, 0.0000) x2  2 Nd 3.08, 2 Sc 3.34, 2 Dy 3.44

No. 4
# ZrNbW

Crystalline ZrNbW at its relaxed geometry (PBE-GGA, the Alexandria database).

energy above the most stable polymorph in this dataset	100	meV per atom
energy of formation from the pure elements	0.05	eV per atom
V	18.89	Å³/atom
D(E_F)	1.201	states/eV per atom

Cell: 3.3113 3.3113 10.3382 Å, 90.00 90.00 90.00°
Closest atoms and distances in Å follow each position.
Space group I4mm (No. 107)
One atom of each set of equivalent atoms:
Zr (0.0000, 0.0000, 0.0000) x2  4 W 2.96, 5 Nb 3.04-3.24
Nb (0.0000, 0.0000, 0.3129) x2  4 W 2.74, 4 Zr 3.04
W (0.0000, 0.0000, 0.6745) x2  4 Nb 2.74, 4 Zr 2.96

D(E_F) of number 1 (TbPuU2S4)?
1.523 states/eV per atom

What is the D(E_F) in the fourth record?
1.201 states/eV per atom

Which of these has the highest V?
Nd2Dy3Sc

Which formula does entry 4 have?
ZrNbW